{
  "formula": "SiOsBr",
  "functional": "GGA-PBE",
  "state": "optimized geometry",
  "energy_ev_per_fu": -16.4,
  "e_form_raw_ev_per_atom": 0.65,
  "magmom_total_mub_per_cell": 0.000,
  "polymorph_energy_mev_per_atom": 359.4,
  "cell": [[6.3282, 0.0303, 0.0000], [4.7764, 4.1513, 0.0000], [-5.5523, -2.0908, 2.2017]],
  "species": ["Br", "Os", "Si"],
  "fractional_positions": [[0.9808, 0.9808, 0.0000], [0.3015, 0.3015, 0.0000], [0.7177, 0.7177, 0.0000]]
}

***

{
  "formula": "Pr3CoBrCl",
  "functional": "GGA-PBE",
  "state": "optimized geometry",
  "energy_ev_per_fu": -30.5,
  "e_form_raw_ev_per_atom": -0.92,
  "magmom_total_mub_per_cell": 0.838,
  "cell": [[-0.1960, -2.7020, -2.9632], [4.7464, -6.1993, 5.3388], [-8.7016, -3.0323, 3.3405]],
  "species": ["Pr", "Pr", "Pr", "Pr", "Pr", "Pr", "Co", "Co", "Br", "Br", "Cl", "Cl"],
  "fractional_positions": [[0.2500, 0.6467, 0.4140], [0.7500, 0.8276, 0.1397], [0.7500, 0.4167, 0.1443], [0.7500, 0.3533, 0.5860], [0.2500, 0.5833, 0.8557], [0.2500, 0.1724, 0.8603], [0.2500, 0.6269, 0.1441], [0.7500, 0.3731, 0.8559], [0.7500, 0.8890, 0.8371], [0.2500, 0.1110, 0.1629], [0.2500, 0.1341, 0.5695], [0.7500, 0.8659, 0.4305]]
}

***

{
  "formula": "LiPaSi3",
  "functional": "GGA-PBE",
  "state": "optimized geometry",
  "energy_ev_per_fu": -29.5,
  "e_form_raw_ev_per_atom": -0.36,
  "magmom_total_mub_per_cell": 0.000,
  "cell": [[3.9657, 0.0000, -0.5460], [0.0000, 3.8928, 0.0000], [-0.3774, 0.0000, 11.9332]],
  "species": ["Li", "Li", "Pa", "Pa", "Si", "Si", "Si", "Si", "Si", "Si"],
  "fractional_positions": [[0.2063, 0.7500, 0.4125], [0.7937, 0.2500, 0.5875], [0.9268, 0.7500, 0.8535], [0.0732, 0.2500, 0.1465], [0.6251, 0.7500, 0.2502], [0.3749, 0.2500, 0.7498], [0.5265, 0.7500, 0.0531], [0.4735, 0.2500, 0.9469], [0.6804, 0.2500, 0.3608], [0.3196, 0.7500, 0.6392]]
}

***

{
  "formula": "ZrOs2W2",
  "functional": "GGA-PBE",
  "state": "optimized geometry",
  "energy_ev_per_fu": -55.3,
  "ef_ev_per_atom": 0.314,
  "magmom_total_mub_per_cell": 0.000,
  "polymorph_energy_mev_per_atom": 242.6,
  "cell": [[-0.4105, 3.8823, 1.5124], [-3.5170, -1.1377, 1.9658], [0.9324, -0.0249, 6.1120]],
  "species": ["Os", "Os", "Zr", "W", "W"],
  "fractional_positions": [[0.7500, 0.2500, 0.5000], [0.2500, 0.7500, 0.5000], [0.0000, 0.0000, 0.0000], [0.3799, 0.3799, 0.2402], [0.6201, 0.6201, 0.7598]]
}

***

{
  "formula": "Rb2BIr",
  "functional": "GGA-PBE",
  "state": "optimized geometry",
  "energy_ev_per_fu": -9.9,
  "ef_ev_per_atom": 1.889,
  "magmom_total_mub_per_cell": 0.000,
  "cell": [[-3.9855, -0.2055, 0.7586], [0.7238, -2.4876, 3.1288], [-0.7848, 7.5073, 8.7875]],
  "species": ["B", "B", "Ir", "Ir", "Rb", "Rb", "Rb", "Rb"],
  "fractional_positions": [[0.5000, 0.5000, 0.0000], [0.2500, 0.7500, 0.5000], [0.0000, 0.0000, 0.0000], [0.7500, 0.2500, 0.5000], [0.6233, 0.1250, 0.2500], [0.1267, 0.6250, 0.2500], [0.3750, 0.3767, 0.7500], [0.8750, 0.8733, 0.7500]]
}

***

{
  "formula": "SrMg4Fe",
  "functional": "GGA-PBE",
  "state": "optimized geometry",
  "energy_ev_per_fu": -14.5,
  "ef_ev_per_atom": 0.336,
  "magmom_total_mub_per_cell": 2.224,
  "cell": [[5.5180, -2.1422, 0.2564], [2.0723, -2.2480, 5.0749], [0.8918, -5.8351, 0.5095]],
  "species": ["Sr", "Mg", "Mg", "Mg", "Mg", "Fe"],
  "fractional_positions": [[0.7500, 0.7500, 0.7500], [0.3735, 0.8795, 0.3735], [0.8795, 0.3735, 0.3735], [0.3735, 0.3735, 0.8795], [0.3735, 0.3735, 0.3735], [0.0000, 0.0000, 0.0000]]
}

***

{
  "formula": "Mg2AlSb",
  "functional": "GGA-PBE",
  "state": "optimized geometry",
  "energy_ev_per_fu": -10.7,
  "e_form_raw_ev_per_atom": 0.08,
  "magmom_total_mub_per_cell": 0.000,
  "polymorph_energy_mev_per_atom": 153.5,
  "cell": [[5.0765, 0.0000, 0.0000], [2.5383, 4.3964, 0.0000], [2.5383, 1.4655, 4.1449]],
  "species": ["Al", "Mg", "Mg", "Sb"],
  "fractional_positions": [[0.5000, 0.5000, 0.5000], [0.0000, 0.0000, 0.0000], [0.7500, 0.7500, 0.7500], [0.2500, 0.2500, 0.2500]]
}

***

{
  "formula": "Ta2AsBr",
  "functional": "GGA-PBE",
  "state": "optimized geometry",
  "energy_ev_per_fu": -28.0,
  "e_form_raw_ev_per_atom": 0.50,
  "magmom_total_mub_per_cell": 0.000,
  "polymorph_energy_mev_per_atom": 643.1,
  "cell": [[5.4450, -0.0312, 0.0384], [1.5997, 5.2048, -0.0384], [-2.5072, -3.9690, 2.7588]],
  "species": ["As", "Br", "Ta", "Ta"],
  "fractional_positions": [[0.2500, 0.7500, 0.5000], [0.7500, 0.2500, 0.5000], [0.0146, 0.0146, 0.0000], [0.4854, 0.4854, 0.0000]]
}